Below is crystalline HfScMoO6 at its relaxed geometry, with properties calculated at the GGA+U level.

Structure (POSCAR):
```
HfScMoO6
1.0
5.2653 0.0000 0.0000
-2.6326 4.5599 0.0000
0.0000 0.0000 9.2117
Hf Sc Mo O
2 2 2 12
Direct
0.3333 0.6667 0.2500
0.6667 0.3333 0.7500
0.0000 0.0000 0.0000
0.0000 0.0000 0.5000
0.3333 0.6667 0.7500
0.6667 0.3333 0.2500
0.0120 0.3471 0.6318
0.0120 0.6649 0.8682
0.3351 0.3471 0.8682
0.3351 0.9880 0.6318
0.3471 0.0120 0.1318
0.3471 0.3351 0.3682
0.6529 0.6649 0.6318
0.6529 0.9880 0.8682
0.6649 0.0120 0.3682
0.6649 0.6529 0.1318
0.9880 0.3351 0.1318
0.9880 0.6529 0.3682
```

Properties
DOS(E_F) = 6.6 states/eV/cell
raw total energy = -8.58 eV/atom
magnetization = 2.0 μB/cell